# 1
Ac5Ni2Au2 (PBE-GGA, optimized geometry); energy of formation = -3.7 eV per formula unit; space-group type = Cmce (64); DOS(E_F) = 9.79 states/eV/f.u.
1.0
7.336 0.000 2.663
0.000 8.754 0.000
0.932 0.000 8.870
Au Ac Ni
4 10 4
Cartesian
2.048 0.000 5.796
5.716 4.377 7.127
6.221 0.000 5.737
2.552 4.377 4.406
7.838 2.866 9.153
6.457 7.243 8.652
0.430 5.888 2.380
0.000 0.000 0.000
3.668 4.377 1.332
1.811 1.511 2.881
4.170 1.511 7.821
5.480 2.866 4.213
4.099 7.243 3.711
2.789 5.888 7.320
0.919 3.455 0.334
4.587 0.922 1.665
6.418 5.299 2.330
2.749 7.832 0.998

=====

# 2
Ac2NiAu2 (PBE-GGA, optimized geometry); energy of formation = -3.3 eV per formula unit; space-group type = C2/m (12); DOS(E_F) = 2.57 states/eV/f.u.
1.0
4.226 0.000 0.000
2.113 5.807 -0.267
2.113 0.453 10.916
Ac Au Ni
4 4 2
Cartesian
2.113 4.273 1.051
4.226 1.591 3.868
4.226 4.669 6.780
6.338 1.987 9.597
2.113 1.033 1.270
6.338 5.227 9.379
2.113 2.100 6.340
6.338 4.160 4.308
4.226 1.106 7.551
4.226 5.154 3.097

=====

# 3
Ac4NiAu2 (PBE-GGA, optimized geometry); energy above the lowest structure with this stoichiometry = 155 meV per atom; energy of formation = -2.6 eV per formula unit; space-group type = I4/mmm (139); DOS(E_F) = 9.63 states/eV/f.u.
1.0
5.560 0.000 0.000
0.000 5.560 0.000
-2.780 -2.780 7.853
Ac Ni Au
4 1 2
Cartesian
0.000 0.000 3.005
0.000 2.780 0.000
2.780 0.000 0.000
2.780 2.780 4.848
0.000 0.000 0.000
2.780 2.780 1.805
0.000 0.000 6.048

=====

# 4
Ac2Ni9Au (PBE-GGA, optimized geometry); energy of formation = -0.5 eV per formula unit; space-group type = R-3m (166); DOS(E_F) = 11.31 states/eV/f.u.
1.0
5.053 0.000 0.000
2.527 4.376 0.000
2.527 1.459 8.352
Ac Ni Au
2 9 1
Cartesian
2.527 1.459 5.062
7.580 4.376 3.290
5.053 1.466 6.414
2.527 1.459 0.025
3.796 3.643 6.414
5.053 4.369 1.937
6.310 3.643 6.414
5.053 2.917 4.176
7.580 4.376 8.327
3.796 2.192 1.937
6.310 2.192 1.937
0.000 0.000 0.000

=====

# 5
Ac3NiAu3 (PBE-GGA, optimized geometry); energy of formation = -4.9 eV per formula unit; space-group type = Imm2 (44); DOS(E_F) = 4.38 states/eV/f.u.
1.0
-2.345 -0.655 -4.034
3.602 0.497 -2.175
1.070 -9.644 3.695
Ac Au Ni
3 3 1
Cartesian
2.314 -9.727 -2.518
2.902 -6.054 -0.704
-0.556 -3.858 -1.802
0.823 -1.193 -3.037
0.049 -7.320 -1.592
2.321 -2.726 -0.907
1.456 -8.330 0.506